# TbNd2Te3

A relaxed structure of TbNd2Te3 (PBE, Alexandria via LeMat-Bulk).

abc: 7.7182 7.7182 7.7182
angles: 146.32 131.96 59.95
With the nearest neighbours (Å) after each atom.
Sites, in units of the cell vectors:
Tb 0.0000 0.0000 0.0000  6 Te 3.09-3.14
Nd 0.3268 0.3268 0.0000  6 Te 3.15-3.22
Nd 0.6732 0.6732 0.0000  6 Te 3.15-3.22
Te 0.1591 0.6591 0.5000  2 Tb 3.09, 4 Nd 3.15-3.17
Te 0.5000 0.0000 0.5000  2 Tb 3.14, 4 Nd 3.22
Te 0.8409 0.3409 0.5000  2 Tb 3.09, 4 Nd 3.15-3.17

Results
- Uncorrected formation energy: -1.38 eV/atom
- Crystal system: orthorhombic
- Final energy: -31.9 eV/cell
- N(E_F): 3.00 states/eV/f.u.
- Total magnetization: 0.0 μB per cell

# KZnSeO4

A relaxed structure of KZnSeO4 (PBE, Alexandria via LeMat-Bulk).

abc: 5.7034 5.7034 5.7034
angles: 119.06 119.06 91.63
With the nearest neighbours (Å) after each atom.
Sites, in units of the cell vectors:
K 0.0000 0.0000 0.0000  4 O 2.77
Zn 0.5000 0.5000 0.0000  4 O 2.00
Se 0.2500 0.7500 0.5000  4 O 1.79
O 0.2451 0.6351 0.1434  1 Se 1.79, 1 Zn 2.00
O 0.3649 0.5083 0.6100  1 Se 1.79, 1 Zn 2.00
O 0.4917 0.1017 0.8566  1 Se 1.79, 1 Zn 2.00
O 0.8983 0.7549 0.3900  1 Se 1.79, 1 Zn 2.00

Results
- Uncorrected formation energy: -1.05 eV/atom
- Crystal system: tetragonal
- Final energy: -33.0 eV/cell
- N(E_F): 2.94 states/eV/f.u.
- Total magnetization: 0.0 μB per cell

> What is the formula in the second record?

KZnSeO4

> What is the formula in the second record?

KZnSeO4

Please write out number 2 again, unchanged.
# KZnSeO4

A relaxed structure of KZnSeO4 (PBE, Alexandria via LeMat-Bulk).

abc: 5.7034 5.7034 5.7034
angles: 119.06 119.06 91.63
With the nearest neighbours (Å) after each atom.
Sites, in units of the cell vectors:
K 0.0000 0.0000 0.0000  4 O 2.77
Zn 0.5000 0.5000 0.0000  4 O 2.00
Se 0.2500 0.7500 0.5000  4 O 1.79
O 0.2451 0.6351 0.1434  1 Se 1.79, 1 Zn 2.00
O 0.3649 0.5083 0.6100  1 Se 1.79, 1 Zn 2.00
O 0.4917 0.1017 0.8566  1 Se 1.79, 1 Zn 2.00
O 0.8983 0.7549 0.3900  1 Se 1.79, 1 Zn 2.00

Results
- Uncorrected formation energy: -1.05 eV/atom
- Crystal system: tetragonal
- Final energy: -33.0 eV/cell
- N(E_F): 2.94 states/eV/f.u.
- Total magnetization: 0.0 μB per cell

> Which value of uncorrected formation energy does entry 1 give?

-1.38 eV/atom